# 1
Tb2ErSc3S6 (PBE-GGA, optimized geometry); E_form (uncorrected) = -1.922 eV/atom; DOS at the Fermi energy = 5.68 states/eV per cell; M_tot = 0.00 μB/cell
1.0
8.2762 -1.8961 0.0000
8.2762 1.8961 0.0000
-1.7675 0.0000 7.4214
Tb Er Sc S
2 1 3 6
direct
0.1673 0.1673 0.3344 Tb
0.8327 0.8327 0.6656 Tb
0.5000 0.5000 0.0000 Er
0.1677 0.1677 0.8321 Sc
0.5000 0.5000 0.5000 Sc
0.8323 0.8323 0.1679 Sc
0.0042 0.0042 0.7445 S
0.3311 0.3311 0.9281 S
0.3378 0.3378 0.4069 S
0.6622 0.6622 0.5931 S
0.6689 0.6689 0.0719 S
0.9958 0.9958 0.2555 S



# 2
Tb3Er2ScS6 (PBE-GGA, optimized geometry); E_form (uncorrected) = -1.962 eV/atom; DOS at the Fermi energy = 5.30 states/eV per cell; M_tot = 0.00 μB/cell
1.0
8.4319 -1.9293 0.0000
8.4319 1.9293 0.0000
-1.8401 0.0000 7.5538
Tb Er Sc S
3 2 1 6
direct
0.0000 0.0000 0.0000 Tb
0.3323 0.3323 0.6653 Tb
0.6677 0.6677 0.3347 Tb
0.3344 0.3344 0.1684 Er
0.6656 0.6656 0.8316 Er
0.0000 0.0000 0.5000 Sc
0.1617 0.1617 0.5847 S
0.1682 0.1682 0.0798 S
0.4997 0.4997 0.2616 S
0.5003 0.5003 0.7384 S
0.8318 0.8318 0.9202 S
0.8383 0.8383 0.4153 S



# 3
Tb3Er4ScS8 (PBE-GGA, optimized geometry); E_form (uncorrected) = -1.952 eV/atom; DOS at the Fermi energy = 9.49 states/eV per cell; M_tot = 0.00 μB/cell
1.0
3.8708 2.2348 6.3223
-3.8708 2.2348 6.3223
0.0000 -4.4696 6.3223
Tb Er Sc S
3 4 1 8
direct
0.0000 0.5000 0.5000 Tb
0.5000 0.0000 0.5000 Tb
0.5000 0.5000 0.0000 Tb
0.0000 0.0000 0.5000 Er
0.0000 0.5000 0.0000 Er
0.5000 0.0000 0.0000 Er
0.5000 0.5000 0.5000 Er
0.0000 0.0000 0.0000 Sc
0.2421 0.7538 0.7538 S
0.2462 0.2462 0.7579 S
0.2462 0.7579 0.2462 S
0.2479 0.2479 0.2479 S
0.7521 0.7521 0.7521 S
0.7538 0.2421 0.7538 S
0.7538 0.7538 0.2421 S
0.7579 0.2462 0.2462 S



# 4
Tb3ErSc3S8 (PBE-GGA, optimized geometry); E_form (uncorrected) = -1.990 eV/atom; DOS at the Fermi energy = 6.81 states/eV per cell; M_tot = 0.00 μB/cell
1.0
3.7884 2.1872 6.2804
-3.7884 2.1872 6.2804
0.0000 -4.3745 6.2804
Tb Er Sc S
3 1 3 8
direct
0.0000 0.5000 0.5000 Tb
0.5000 0.0000 0.5000 Tb
0.5000 0.5000 0.0000 Tb
0.5000 0.5000 0.5000 Er
0.0000 0.0000 0.5000 Sc
0.0000 0.5000 0.0000 Sc
0.5000 0.0000 0.0000 Sc
0.2357 0.7526 0.7526 S
0.2442 0.2442 0.2442 S
0.2474 0.2474 0.7643 S
0.2474 0.7643 0.2474 S
0.7526 0.2357 0.7526 S
0.7526 0.7526 0.2357 S
0.7558 0.7558 0.7558 S
0.7643 0.2474 0.2474 S



# 5
TbErSc2S4 (PBE-GGA, optimized geometry); E_form (uncorrected) = -1.915 eV/atom; DOS at the Fermi energy = 4.99 states/eV per cell; M_tot = 0.00 μB/cell
1.0
6.5882 0.0000 0.0000
0.0000 3.7711 0.0000
-2.1659 0.0000 6.2264
Tb Er Sc S
1 1 2 4
direct
0.0000 0.0000 0.0000 Tb
0.0000 0.5000 0.5000 Er
0.5000 0.0000 0.5000 Sc
0.5000 0.5000 0.0000 Sc
0.2641 0.0000 0.7520 S
0.2663 0.5000 0.2583 S
0.7337 0.5000 0.7417 S
0.7359 0.0000 0.2480 S



# 6
TbEr2ScS6 (PBE-GGA, optimized geometry); E_form (uncorrected) = -2.007 eV/atom; DOS at the Fermi energy = 0.00 states/eV per cell; M_tot = 0.00 μB/cell
1.0
3.3898 1.9571 6.0786
-3.3898 1.9571 6.0786
0.0000 -3.9142 6.0786
Tb Er Sc S
1 2 1 6
direct
0.0000 0.0000 0.0000 Tb
0.2969 0.2969 0.2969 Er
0.8002 0.8002 0.8002 Er
0.4954 0.4954 0.4954 Sc
0.1053 0.6951 0.4023 S
0.2164 0.5966 0.8817 S
0.4023 0.1053 0.6951 S
0.5966 0.8817 0.2164 S
0.6951 0.4023 0.1053 S
0.8817 0.2164 0.5966 S



# 7
Tb2ErScS4 (PBE-GGA, optimized geometry); E_form (uncorrected) = -1.949 eV/atom; DOS at the Fermi energy = 4.85 states/eV per cell; M_tot = 0.00 μB/cell
1.0
6.6651 0.0000 0.0000
0.0000 3.8234 0.0000
-2.2008 0.0000 6.3657
Tb Er Sc S
2 1 1 4
direct
0.0000 0.0000 0.0000 Tb
0.5000 0.5000 0.0000 Tb
0.0000 0.5000 0.5000 Er
0.5000 0.0000 0.5000 Sc
0.2520 0.0000 0.7400 S
0.2601 0.5000 0.2640 S
0.7399 0.5000 0.7360 S
0.7480 0.0000 0.2600 S



# 8
Tb4Er3ScS8 (PBE-GGA, optimized geometry); E_form (uncorrected) = -1.962 eV/atom; DOS at the Fermi energy = 9.37 states/eV per cell; M_tot = 0.00 μB/cell
1.0
3.8697 2.2342 6.3587
-3.8697 2.2342 6.3587
0.0000 -4.4683 6.3587
Tb Er Sc S
4 3 1 8
direct
0.0000 0.0000 0.0000 Tb
0.0000 0.5000 0.5000 Tb
0.5000 0.0000 0.5000 Tb
0.5000 0.5000 0.0000 Tb
0.0000 0.0000 0.5000 Er
0.0000 0.5000 0.0000 Er
0.5000 0.0000 0.0000 Er
0.5000 0.5000 0.5000 Sc
0.2479 0.2479 0.2479 S
0.2520 0.7438 0.7438 S
0.2562 0.2562 0.7480 S
0.2562 0.7480 0.2562 S
0.7438 0.2520 0.7438 S
0.7438 0.7438 0.2520 S
0.7480 0.2562 0.2562 S
0.7521 0.7521 0.7521 S



Which formula does entry 6 have?
TbEr2ScS6



Among the records above, which one has the highest DOS at the Fermi energy?
Tb3Er4ScS8



The lowest DOS at the Fermi energy belongs to which entry?
TbEr2ScS6